(1)
An optimized crystal structure of LaTm2ThS4, computed with GGA-PBE.

a b c (Å): 3.9059 7.0446 6.7846
angles (deg): 71.32 90.00 90.00
Fractional positions:
La 0.5000 0.5000 0.0000
Tm 0.0000 0.0000 0.0000
Tm 0.5000 0.0000 0.5000
Th 0.0000 0.5000 0.5000
S 0.0000 0.7751 0.7388
S 0.0000 0.2249 0.2612
S 0.5000 0.7729 0.2453
S 0.5000 0.2271 0.7547

Summary:
Uncorrected formation energy in eV per atom: -1.964
Total magnetic moment in μB per atom: 0.000
Calculated density in g/cm3: 7.86
Crystal system: monoclinic
Symmetry: P2/m (10)
Final energy in eV per atom: -6.69

(2)
An optimized crystal structure of SmDy8Tm3, computed with GGA-PBE.

a b c (Å): 8.4026 8.4026 8.4100
angles (deg): 96.16 99.76 136.29
Fractional positions:
Sm 0.1676 0.1676 0.0000
Dy 0.5010 0.1664 0.3348
Dy 0.5003 0.6675 0.8328
Dy 0.8347 0.6675 0.1672
Dy 0.8316 0.1662 0.6652
Dy 0.1660 0.2510 0.4181
Dy 0.8328 0.2509 0.0849
Dy 0.1660 0.7479 0.9151
Dy 0.8329 0.7479 0.5819
Tm 0.4993 0.7504 0.2510
Tm 0.4994 0.2483 0.7490
Tm 0.1683 0.6683 0.5000

Summary:
Total magnetic moment in μB per atom: 0.000
DFT formation energy in meV/atom: 8.8
Calculated density in g/cm3: 8.54
Crystal system: orthorhombic
Symmetry: Imm2 (44)
Final energy in eV per atom: -4.57

(3)
An optimized crystal structure of La4HRu2, computed with GGA-PBE.

a b c (Å): 4.9064 4.9064 7.9843
angles (deg): 107.89 107.89 90.00
Fractional positions:
Ru 0.6278 0.6278 0.2556
Ru 0.3722 0.3722 0.7444
H 0.0000 0.0000 0.0000
La 0.8007 0.8007 0.6013
La 0.1993 0.1993 0.3987
La 0.0000 0.5000 0.0000
La 0.5000 0.0000 0.0000

Summary:
Total magnetic moment in μB per atom: 0.000
Calculated density in g/cm3: 7.28
Crystal system: tetragonal
Symmetry: I4/mmm (139)
Final energy in eV per atom: -6.19

(4)
An optimized crystal structure of CdCu2Ni2, computed with GGA-PBE.

a b c (Å): 3.5072 3.5072 6.2481
angles (deg): 73.70 73.70 90.00
Fractional positions:
Ni 0.3971 0.3971 0.2059
Ni 0.6029 0.6029 0.7941
Cu 0.7500 0.2500 0.5000
Cu 0.2500 0.7500 0.5000
Cd 0.0000 0.0000 0.0000

Summary:
Total magnetic moment in μB per atom: 0.000
Relative energy among the computed polymorphs in eV per atom: 0.1107
DFT formation energy in meV/atom: 234.6
Calculated density in g/cm3: 8.40
Crystal system: tetragonal
Symmetry: I4/mmm (139)
Final energy in eV per atom: -3.90

(5)
An optimized crystal structure of Tb4Er3Hg4, computed with GGA-PBE.

a b c (Å): 5.1808 7.0123 9.5868
angles (deg): 111.45 105.68 90.00
Fractional positions:
Tb 0.3207 0.0818 0.6414
Tb 0.6793 0.4404 0.3586
Tb 0.6793 0.9182 0.3586
Tb 0.3207 0.5596 0.6414
Er 0.0976 0.0976 0.1951
Er 0.9024 0.9024 0.8049
Er 0.0000 0.5000 0.0000
Hg 0.1761 0.6761 0.3523
Hg 0.8239 0.3239 0.6477
Hg 0.5000 0.7876 0.0000
Hg 0.5000 0.2124 0.0000

Summary:
Total magnetic moment in μB per atom: 0.000
DFT formation energy in meV/atom: -223.7
Calculated density in g/cm3: 10.38
Crystal system: orthorhombic
Symmetry: Immm (71)
Final energy in eV per atom: -3.26

(6)
An optimized crystal structure of BaYTaN3, computed with GGA-PBE.

a b c (Å): 4.0553 7.1142 7.7465
angles (deg): 104.51 90.00 106.56
Fractional positions:
Ba 0.3519 0.7037 0.9230
Ba 0.6481 0.2963 0.0770
Y 0.6586 0.3172 0.5766
Y 0.3414 0.6828 0.4234
Ta 0.0029 0.0058 0.3079
Ta 0.9971 0.9942 0.6921
N 0.8511 0.7022 0.2088
N 0.8378 0.6756 0.6474
N 0.5065 0.0129 0.3221
N 0.1622 0.3244 0.3526
N 0.4935 0.9871 0.6779
N 0.1489 0.2978 0.7912

Summary:
Uncorrected formation energy in eV per atom: -1.030
Total magnetic moment in μB per atom: 0.000
Calculated density in g/cm3: 7.21
Crystal system: monoclinic
Symmetry: C2/m (12)
Final energy in eV per atom: -8.57